No. 1
Crystalline Pm3BeB2Pt8 at its relaxed geometry. Source: the Alexandria database, functional PBE.

a = 5.5028 Å, b = 5.5028 Å, c = 9.4367 Å
α = 90.00°, β = 90.00°, γ = 120.00°
Element x y z (fractional)
Pm 0.0000 0.0000 0.0000
Pm 0.3333 0.6667 0.5837
Pm 0.6667 0.3333 0.4163
Be 0.0000 0.0000 0.5000
B 0.3333 0.6667 0.1427
B 0.6667 0.3333 0.8573
Pt 0.1645 0.3290 0.2911
Pt 0.1645 0.8355 0.2911
Pt 0.3290 0.1645 0.7089
Pt 0.3333 0.6667 0.9332
Pt 0.6667 0.3333 0.0668
Pt 0.6710 0.8355 0.2911
Pt 0.8355 0.1645 0.7089
Pt 0.8355 0.6710 0.7089

As for the formation energy: -999 kJ/mol of formula units.

No. 2
Crystalline PrBeBPt6 at its relaxed geometry. Source: the Alexandria database, functional PBE.

a = 7.6686 Å, b = 7.6686 Å, c = 7.6686 Å
α = 124.54°, β = 116.00°, γ = 89.69°
Element x y z (fractional)
Pr 0.4011 0.1511 0.2500
Pr 0.5989 0.8489 0.7500
Be 0.0000 0.0000 0.5000
Be 0.0000 0.5000 0.0000
B 0.0000 0.5000 0.5000
B 0.5000 0.5000 0.0000
Pt 0.1019 0.4044 0.2535
Pt 0.1019 0.8484 0.6976
Pt 0.1249 0.8749 0.2500
Pt 0.3169 0.5669 0.7500
Pt 0.3491 0.1516 0.7535
Pt 0.3491 0.5956 0.1976
Pt 0.6509 0.4044 0.8024
Pt 0.6509 0.8484 0.2465
Pt 0.6831 0.4331 0.2500
Pt 0.8751 0.1251 0.7500
Pt 0.8981 0.1516 0.3024
Pt 0.8981 0.5956 0.7465

As for the formation energy: -441 kJ/mol of formula units.

No. 3
Crystalline Pr2BeBPt6 at its relaxed geometry. Source: the Alexandria database, functional PBE.

a = 7.0618 Å, b = 7.0618 Å, c = 7.0618 Å
α = 47.93°, β = 47.93°, γ = 47.93°
Element x y z (fractional)
Pr 0.2123 0.2123 0.2123
Pr 0.7877 0.7877 0.7877
Be 0.5000 0.5000 0.5000
B 0.0000 0.0000 0.0000
Pt 0.2411 0.2411 0.7170
Pt 0.2411 0.7170 0.2411
Pt 0.2830 0.7589 0.7589
Pt 0.7170 0.2411 0.2411
Pt 0.7589 0.2830 0.7589
Pt 0.7589 0.7589 0.2830

As for the formation energy: -841 kJ/mol of formula units.

No. 4
Crystalline Be2BPt6 at its relaxed geometry. Source: the Alexandria database, functional PBE.

a = 7.1969 Å, b = 7.1969 Å, c = 7.1969 Å
α = 133.97°, β = 101.17°, γ = 96.43°
Element x y z (fractional)
Be 0.1310 0.1310 0.0000
Be 0.3734 0.5000 0.8734
Be 0.6266 0.5000 0.1266
Be 0.8690 0.8690 0.0000
B 0.0000 0.5000 0.5000
B 0.5000 0.0000 0.5000
Pt 0.0071 0.2505 0.7566
Pt 0.1677 0.2503 0.4180
Pt 0.1677 0.7497 0.9174
Pt 0.3388 0.0834 0.7445
Pt 0.3388 0.5943 0.2555
Pt 0.4939 0.2505 0.2434
Pt 0.5061 0.7495 0.7566
Pt 0.6612 0.4057 0.7445
Pt 0.6612 0.9166 0.2555
Pt 0.8323 0.2503 0.0826
Pt 0.8323 0.7497 0.5820
Pt 0.9929 0.7495 0.2434

As for the formation energy: -245 kJ/mol of formula units.

No. 5
Crystalline Be2BPt2 at its relaxed geometry. Source: the Alexandria database, functional PBE.

a = 5.7724 Å, b = 5.7724 Å, c = 3.5546 Å
α = 90.00°, β = 90.00°, γ = 90.00°
Element x y z (fractional)
Be 0.1377 0.3623 0.0000
Be 0.3623 0.8623 0.0000
Be 0.6377 0.1377 0.0000
Be 0.8623 0.6377 0.0000
B 0.0000 0.0000 0.5000
B 0.5000 0.5000 0.5000
Pt 0.1711 0.6711 0.5000
Pt 0.3289 0.1711 0.5000
Pt 0.6711 0.8289 0.5000
Pt 0.8289 0.3289 0.5000

Its energy relative to the lowest polymorph listed for this composition is 0.000 eV/atom. As for the formation energy: -124 kJ/mol of formula units.

No. 6
Crystalline Be3BPt at its relaxed geometry. Source: the Alexandria database, functional PBE.

a = 4.2397 Å, b = 4.2397 Å, c = 4.2397 Å
α = 90.00°, β = 90.00°, γ = 90.00°
Element x y z (fractional)
Be 0.0000 0.0000 0.5000
Be 0.0000 0.5000 0.0000
Be 0.5000 0.0000 0.0000
B 0.5000 0.5000 0.5000
Pt 0.0000 0.0000 0.0000

Its energy relative to the lowest polymorph listed for this composition is 0.966 eV/atom. As for the formation energy: 495 kJ/mol of formula units.